# LiTeOs

LiTeOs after structural relaxation (GGA-PBEsol, the Alexandria database).

For the total energy, the calculation gives -5.267 eV/atom. For the excess energy over the best structure of this formula in the dataset, the calculation gives 0.356 eV/atom. The energy relative to the elements, uncorrected is 0.6358 eV per atom.

The space group is Fmm2 (No. 42) and the conventional cell measures 3.112, 5.154 and 13.524 Å, with angles of 90.00, 90.00 and 90.00 degrees. The asymmetric unit holds Li at (0.000, 0.000, 0.000), Te at (0.000, 0.000, 0.691) and Os at (0.000, 0.000, 0.346).


# Lu4Ge6Ru7

Lu4Ge6Ru7 after structural relaxation (GGA-PBEsol, the Alexandria database).

The formation energy comes out at -656.4 meV per atom. For the total energy, the calculation gives -7.735 eV/atom.

The space group is Im-3m (No. 229) and the conventional cell measures 8.166, 8.166 and 8.166 Å, with angles of 90.00, 90.00 and 90.00 degrees. The asymmetric unit holds Lu at (0.250, 0.250, 0.250), Ge at (0.000, 0.000, 0.312), Ru at (0.000, 0.000, 0.000) and Ru at (0.000, 0.250, 0.500).


# TiPAu2C

TiPAu2C after structural relaxation (GGA-PBEsol, the Alexandria database).

The formation energy comes out at 742.7 meV per atom. For the total energy, the calculation gives -5.578 eV/atom.

The space group is P4/mmm (No. 123) and the conventional cell measures 4.089, 4.089 and 4.615 Å, with angles of 90.00, 90.00 and 90.00 degrees. The asymmetric unit holds Ti at (0.000, 0.000, 0.000), P at (0.500, 0.500, 0.000), Au at (0.000, 0.500, 0.500) and C at (0.500, 0.500, 0.500).


# CuHgP3

CuHgP3 after structural relaxation (GGA-PBEsol, the Alexandria database).

The formation energy comes out at 1723.2 meV per atom. For the total energy, the calculation gives -2.732 eV/atom.

The space group is Pm-3m (No. 221) and the conventional cell measures 4.897, 4.897 and 4.897 Å, with angles of 90.00, 90.00 and 90.00 degrees. The asymmetric unit holds Cu at (0.000, 0.000, 0.000), Hg at (0.500, 0.500, 0.500) and P at (0.000, 0.500, 0.500).


# Fe3O2F4

Fe3O2F4 after structural relaxation (GGA-PBEsol, the Alexandria database).

For the total energy, the calculation gives -6.634 eV/atom. The energy relative to the elements, uncorrected is -1.6232 eV per atom.

The space group is Cmmm (No. 65) and the conventional cell measures 6.624, 20.479 and 2.943 Å, with angles of 90.00, 90.00 and 90.00 degrees. The asymmetric unit holds Fe at (0.000, 0.000, 0.000), Fe at (0.000, 0.173, 0.500), Fe at (0.000, 0.326, 0.000), Fe at (0.000, 0.500, 0.500), O at (0.000, 0.264, 0.500), O at (0.189, 0.500, 0.000), F at (0.000, 0.069, 0.500), F at (0.000, 0.395, 0.500) and F at (0.203, 0.158, 0.000).


# AlOs4Br

AlOs4Br after structural relaxation (GGA-PBEsol, the Alexandria database).

For the total energy, the calculation gives -7.874 eV/atom. The energy relative to the elements, uncorrected is 1.2635 eV per atom.

The space group is F-43m (No. 216) and the conventional cell measures 7.326, 7.326 and 7.326 Å, with angles of 90.00, 90.00 and 90.00 degrees. The asymmetric unit holds Al at (0.000, 0.000, 0.000), Os at (0.125, 0.125, 0.625) and Br at (0.250, 0.250, 0.250).


# CuRe2Hg

CuRe2Hg after structural relaxation (GGA-PBEsol, the Alexandria database).

The formation energy comes out at 577.7 meV per atom. For the total energy, the calculation gives -7.314 eV/atom.

The space group is C2/m (No. 12) and the conventional cell measures 9.491, 2.832 and 4.590 Å, with angles of 90.00, 102.74 and 90.00 degrees. The asymmetric unit holds Cu at (0.000, 0.000, 0.000), Re at (0.239, 0.500, 0.235) and Hg at (0.000, 0.500, 0.500).


# MgSnAs2

MgSnAs2 after structural relaxation (GGA-PBEsol, the Alexandria database).

The formation energy comes out at -4.5 meV per atom. For the total energy, the calculation gives -4.052 eV/atom. For the excess energy over the best structure of this formula in the dataset, the calculation gives 0.259 eV/atom.

The space group is Fm-3m (No. 225) and the conventional cell measures 6.941, 6.941 and 6.941 Å, with angles of 90.00, 90.00 and 90.00 degrees. The asymmetric unit holds Mg at (0.000, 0.000, 0.000), Sn at (0.000, 0.000, 0.500) and As at (0.250, 0.250, 0.250).


# CdCo2Rh

CdCo2Rh after structural relaxation (GGA-PBEsol, the Alexandria database).

The formation energy comes out at 341.2 meV per atom. For the total energy, the calculation gives -5.861 eV/atom.

The space group is Pmmm (No. 47) and the conventional cell measures 3.036, 4.203 and 4.238 Å, with angles of 90.00, 90.00 and 90.00 degrees. The asymmetric unit holds Cd at (0.000, 0.000, 0.000), Co at (0.000, 0.500, 0.500), Co at (0.500, 0.500, 0.000) and Rh at (0.500, 0.000, 0.500).


# Ta2InNi

Ta2InNi after structural relaxation (GGA-PBEsol, the Alexandria database).

The formation energy comes out at 47.3 meV per atom. For the total energy, the calculation gives -8.513 eV/atom.

The space group is P4/mmm (No. 123) and the conventional cell measures 3.872, 3.872 and 4.353 Å, with angles of 90.00, 90.00 and 90.00 degrees. The asymmetric unit holds Ta at (0.000, 0.500, 0.000), In at (0.000, 0.000, 0.500) and Ni at (0.500, 0.500, 0.500).


# Tc2IrOs

Tc2IrOs after structural relaxation (GGA-PBEsol, the Alexandria database).

The formation energy comes out at -212.6 meV per atom. For the total energy, the calculation gives -11.356 eV/atom. For the excess energy over the best structure of this formula in the dataset, the calculation gives 0.000 eV/atom.

The space group is Pmm2 (No. 25) and the conventional cell measures 2.722, 4.315 and 4.731 Å, with angles of 90.00, 90.00 and 90.00 degrees. The asymmetric unit holds Tc at (0.000, 0.000, 0.000), Tc at (0.000, 0.500, 0.329), Ir at (0.500, 0.500, 0.837) and Os at (0.500, 0.000, 0.496).


# YTlAs2

YTlAs2 after structural relaxation (GGA-PBEsol, the Alexandria database).

The formation energy comes out at -463.6 meV per atom. For the total energy, the calculation gives -5.380 eV/atom. For the excess energy over the best structure of this formula in the dataset, the calculation gives 0.121 eV/atom.

The space group is R-3m (No. 166, hexagonal axes) and the conventional cell measures 4.1387, 4.1387 and 20.0198 Å, with angles of 90.00, 90.00 and 120.00 degrees. The asymmetric unit holds Y at (0.0000, 0.0000, 0.0000), Tl at (0.0000, 0.0000, 0.5000) and As at (0.0000, 0.0000, 0.2533).


# SrHgSb2

SrHgSb2 after structural relaxation (GGA-PBEsol, the Alexandria database).

For the total energy, the calculation gives -3.374 eV/atom. The energy relative to the elements, uncorrected is -0.4933 eV per atom.

The space group is P4/mmm (No. 123) and the conventional cell measures 4.632, 4.632 and 5.084 Å, with angles of 90.00, 90.00 and 90.00 degrees. The asymmetric unit holds Sr at (0.000, 0.000, 0.000), Hg at (0.500, 0.500, 0.000) and Sb at (0.000, 0.500, 0.500).


no.,volume (A^3/atom)
1,18.1
2,16.0
3,15.4
4,23.5
5,11.1
6,16.4
7,15.0
8,20.9
9,13.5
10,16.3
11,13.9
12,24.7
13,27.3